1.
VASP calculation (PBE-GGA) on a relaxed structure of ZrMo2Se.

It has space group Cm (No. 8), with a = 9.6997 Å, b = 3.4154 Å, c = 5.1748 Å, α = 90.00°, β = 122.21° and γ = 90.00°. The asymmetric unit holds Zr at (0.0000, 0.0000, 0.0000), Mo at (0.0284, 0.5000, 0.5271), Mo at (0.2913, 0.5000, 0.2720) and Se at (0.2606, 0.0000, 0.6262).

The calculation puts the density of states at the Fermi level at 0.64 states/eV per atom. For the total energy, the calculation gives -67.7 eV per cell. Its formation energy from raw total energies is -3.5 kJ/mol of atoms. The total magnetic moment is 0.00 μB/cell.

2.
VASP calculation (PBE-GGA) on a relaxed structure of Mg3Co.

It has space group Pmmn (No. 59, origin choice 2), with a = 4.6496 Å, b = 5.7704 Å, c = 5.1903 Å, α = 90.00°, β = 90.00° and γ = 90.00°. The asymmetric unit holds Mg at (0.2500, 0.0007, 0.1644), Mg at (0.2500, 0.7500, 0.6297) and Co at (0.2500, 0.2500, 0.6724).

The calculation puts the density of states at the Fermi level at 0.67 states/eV per atom. For the total energy, the calculation gives -22.7 eV per cell. The total magnetic moment is 1.11 μB/cell. The formation energy is 0.133 eV/atom.

3.
VASP calculation (PBE-GGA) on a relaxed structure of SrSi2Ru.

It has space group Cm (No. 8), with a = 7.1641 Å, b = 4.1451 Å, c = 6.1553 Å, α = 90.00°, β = 112.82° and γ = 90.00°. The asymmetric unit holds Sr at (0.0000, 0.0000, 0.0000), Si at (0.0401, 0.5000, 0.6214), Si at (0.3054, 0.5000, 0.4189) and Ru at (0.1824, 0.0000, 0.5493).

The calculation puts the density of states at the Fermi level at 0.67 states/eV per atom. For the total energy, the calculation gives -46.9 eV per cell. Its formation energy from raw total energies is -39.2 kJ/mol of atoms. The total magnetic moment is 0.00 μB/cell.

4.
VASP calculation (PBE-GGA) on a relaxed structure of KBaNa2Hg.

It has space group P4/mmm (No. 123), with a = 6.1826 Å, b = 6.1826 Å, c = 6.4894 Å, α = 90.00°, β = 90.00° and γ = 90.00°. The asymmetric unit holds K at (0.0000, 0.0000, 0.0000), Ba at (0.5000, 0.5000, 0.0000), Na at (0.0000, 0.5000, 0.5000) and Hg at (0.5000, 0.5000, 0.5000).

The calculation puts the density of states at the Fermi level at 0.53 states/eV per atom. As for the energy above the lowest structure with this stoichiometry: 0.000 eV/atom. For the total energy, the calculation gives -6.3 eV per cell. The total magnetic moment is 0.00 μB/cell. The formation energy is -0.075 eV/atom.